# RbNaPtW

A relaxed RbNaPtW crystal (GGA-PBE, OQMD).

a b c (Å): 5.099 5.099 5.099
angles (deg): 60.00 60.00 60.00
Fractional positions:
Rb (0.000, 0.000, 0.000)
Na (0.750, 0.750, 0.750)
Pt (0.250, 0.250, 0.250)
W (0.500, 0.500, 0.500)

Computed properties:
- energy above the most stable polymorph in this dataset (meV per atom) = 93
- final energy (eV/f.u.) = -15.88

---

# NaRePt

A relaxed NaRePt crystal (GGA-PBE, OQMD).

a b c (Å): 4.284 4.284 4.284
angles (deg): 60.00 60.00 60.00
Fractional positions:
Na (0.000, 0.000, 0.000)
Re (0.500, 0.500, 0.500)
Pt (0.250, 0.250, 0.250)

Computed properties:
- energy above the most stable polymorph in this dataset (meV per atom) = 0
- final energy (eV/f.u.) = -17.08